[1]
The following is a PBE calculation of crystalline TaSeCl at its relaxed geometry, from Alexandria.

Values from the calculation:
As for the magnetization: 0.0 Bohr magnetons per cell. The uncorrected formation energy is -1.029 eV/f.u. The calculated volume comes out at 71 Å³ per cell. For the total energy, the calculation gives -6.071 eV/atom.

Cell lengths 8.3288, 8.0271, 3.2148 Å; angles 83.99, 73.43, 22.57 degrees
Fractional coordinates of all 3 atoms:
Ta1 0.0000 0.0000 0.0000
Se1 0.3756 0.3756 0.6244
Cl1 0.6248 0.6248 0.3752

=====

[2]
The following is a PBE calculation of crystalline TaSeCl2 at its relaxed geometry, from Alexandria.

Values from the calculation:
As for the magnetization: 0.1 Bohr magnetons per cell. The uncorrected formation energy is -1.787 eV/f.u. The calculated volume comes out at 86 Å³ per cell. For the total energy, the calculation gives -5.204 eV/atom.

Cell lengths 10.7047, 10.7047, 10.7047 Å; angles 16.50, 16.50, 16.50 degrees
Fractional coordinates of all 4 atoms:
Ta1 0.0000 0.0000 0.0000
Se1 0.5000 0.5000 0.5000
Cl1 0.2761 0.2761 0.2761
Cl2 0.7239 0.7239 0.7239

=====

[3]
The following is a PBE calculation of crystalline TaSeCl2 at its relaxed geometry, from Alexandria.

Values from the calculation:
As for the magnetization: 0.0 Bohr magnetons per cell. The uncorrected formation energy is -3.775 eV/f.u. The calculated volume comes out at 406 Å³ per cell. For the total energy, the calculation gives -5.701 eV/atom.

Cell lengths 6.1054, 6.2864, 12.0425 Å; angles 90.00, 118.53, 90.00 degrees
Fractional coordinates of all 16 atoms:
Ta1 0.1215 0.0057 0.4175
Ta2 0.1215 0.4943 0.9175
Ta3 0.8785 0.5057 0.0825
Ta4 0.8785 0.9943 0.5825
Se1 0.1435 0.7372 0.2482
Se2 0.1435 0.7628 0.7482
Se3 0.8565 0.2372 0.2518
Se4 0.8565 0.2628 0.7518
Cl1 0.1826 0.2484 0.5891
Cl2 0.1826 0.2516 0.0891
Cl3 0.4979 0.7036 0.0734
Cl4 0.4979 0.7964 0.5734
Cl5 0.5021 0.2036 0.4266
Cl6 0.5021 0.2964 0.9266
Cl7 0.8174 0.7484 0.9109
Cl8 0.8174 0.7516 0.4109

=====

[4]
The following is a PBE calculation of crystalline TaSeCl2 at its relaxed geometry, from Alexandria.

Values from the calculation:
As for the magnetization: 0.0 Bohr magnetons per cell. The uncorrected formation energy is -0.900 eV/f.u. The calculated volume comes out at 83 Å³ per cell. For the total energy, the calculation gives -4.983 eV/atom.

Cell lengths 2.9810, 2.9810, 9.3167 Å; angles 90.00, 90.00, 90.00 degrees
Fractional coordinates of all 4 atoms:
Ta1 0.0000 0.0000 0.0000
Se1 0.0000 0.0000 0.5000
Cl1 0.5000 0.5000 0.1664
Cl2 0.5000 0.5000 0.8336

=====

[5]
The following is a PBE calculation of crystalline TaSeCl at its relaxed geometry, from Alexandria.

Values from the calculation:
As for the magnetization: 2.0 Bohr magnetons per cell. The uncorrected formation energy is -0.972 eV/f.u. The calculated volume comes out at 63 Å³ per cell. For the total energy, the calculation gives -6.052 eV/atom.

Cell lengths 4.4676, 4.4676, 4.4676 Å; angles 60.00, 60.00, 60.00 degrees
Fractional coordinates of all 3 atoms:
Ta1 0.0000 0.0000 0.0000
Se1 0.2500 0.2500 0.2500
Cl1 0.7500 0.7500 0.7500

=====

[6]
The following is a PBE calculation of crystalline Ta2SeCl at its relaxed geometry, from Alexandria.

Values from the calculation:
As for the magnetization: 0.0 Bohr magnetons per cell. The uncorrected formation energy is 1.829 eV/f.u. The calculated volume comes out at 70 Å³ per cell. For the total energy, the calculation gives -6.802 eV/atom.

Cell lengths 5.8358, 5.8358, 5.8358 Å; angles 143.36, 143.36, 52.79 degrees
Fractional coordinates of all 4 atoms:
Ta1 0.0000 0.0000 0.0000
Ta2 0.7500 0.2500 0.5000
Se1 0.5000 0.5000 0.0000
Cl1 0.2500 0.7500 0.5000

=====

[7]
The following is a PBE calculation of crystalline TaSe2Cl at its relaxed geometry, from Alexandria.

Values from the calculation:
As for the magnetization: 0.0 Bohr magnetons per cell. The uncorrected formation energy is 0.699 eV/f.u. The calculated volume comes out at 77 Å³ per cell. For the total energy, the calculation gives -4.992 eV/atom.

Cell lengths 5.1105, 5.1105, 3.4695 Å; angles 90.05, 90.05, 121.37 degrees
Fractional coordinates of all 4 atoms:
Ta1 0.0000 0.0000 0.0000
Se1 0.0000 0.5000 0.5000
Se2 0.5000 0.0000 0.5000
Cl1 0.5000 0.5000 0.0000

=====

[8]
The following is a PBE calculation of crystalline TaSeCl at its relaxed geometry, from Alexandria.

Values from the calculation:
As for the magnetization: 0.0 Bohr magnetons per cell. The uncorrected formation energy is -2.811 eV/f.u. The calculated volume comes out at 148 Å³ per cell. For the total energy, the calculation gives -6.665 eV/atom.

Cell lengths 3.3196, 6.0447, 7.9938 Å; angles 109.13, 101.24, 90.00 degrees
Fractional coordinates of all 6 atoms:
Ta1 0.0000 0.0000 0.0000
Ta2 0.4959 0.6076 0.9913
Se1 0.4080 0.1441 0.8040
Se2 0.8774 0.6086 0.7388
Cl1 0.0917 0.4772 0.1955
Cl2 0.6175 0.0066 0.2503

=====

[9]
The following is a PBE calculation of crystalline Ta2SeCl at its relaxed geometry, from Alexandria.

Values from the calculation:
As for the magnetization: 0.0 Bohr magnetons per cell. The uncorrected formation energy is -1.328 eV/f.u. The calculated volume comes out at 87 Å³ per cell. For the total energy, the calculation gives -7.591 eV/atom.

Cell lengths 3.0318, 3.0318, 9.8334 Å; angles 90.00, 90.00, 106.42 degrees
Fractional coordinates of all 4 atoms:
Ta1 0.0000 0.0000 0.0000
Ta2 0.5000 0.5000 0.2224
Se1 0.0000 0.0000 0.4135
Cl1 0.5000 0.5000 0.8123

=====

[10]
The following is a PBE calculation of crystalline TaSeCl4 at its relaxed geometry, from Alexandria.

Values from the calculation:
As for the magnetization: 0.4 Bohr magnetons per cell. The uncorrected formation energy is 5.954 eV/f.u. The calculated volume comes out at 118 Å³ per cell. For the total energy, the calculation gives -2.795 eV/atom.

Cell lengths 5.5065, 5.5065, 5.5065 Å; angles 60.00, 60.00, 60.00 degrees
Fractional coordinates of all 6 atoms:
Ta1 0.0000 0.0000 0.0000
Se1 0.2500 0.2500 0.2500
Cl1 0.1230 0.6257 0.6257
Cl2 0.6257 0.1230 0.6257
Cl3 0.6257 0.6257 0.1230
Cl4 0.6257 0.6257 0.6257

=====

[11]
The following is a PBE calculation of crystalline TaSe2Cl at its relaxed geometry, from Alexandria.

Values from the calculation:
As for the magnetization: 0.0 Bohr magnetons per cell. The uncorrected formation energy is 1.820 eV/f.u. The calculated volume comes out at 74 Å³ per cell. For the total energy, the calculation gives -4.712 eV/atom.

Cell lengths 3.2493, 4.4837, 5.0529 Å; angles 90.00, 90.00, 90.00 degrees
Fractional coordinates of all 4 atoms:
Ta1 0.0000 0.0000 0.0000
Se1 0.0000 0.5000 0.5000
Se2 0.5000 0.0000 0.5000
Cl1 0.5000 0.5000 0.0000

=====

[12]
The following is a PBE calculation of crystalline Ta2Se4Cl at its relaxed geometry, from Alexandria.

Values from the calculation:
As for the magnetization: 0.0 Bohr magnetons per cell. The uncorrected formation energy is -3.914 eV/f.u. The calculated volume comes out at 348 Å³ per cell. For the total energy, the calculation gives -6.201 eV/atom.

Cell lengths 7.2683, 7.2683, 7.5103 Å; angles 109.37, 109.37, 92.32 degrees
Fractional coordinates of all 14 atoms:
Ta1 0.0426 0.0426 0.2789
Ta2 0.5037 0.1168 0.3838
Ta3 0.8832 0.4963 0.6162
Ta4 0.9574 0.9574 0.7211
Se1 0.1474 0.2558 0.6584
Se2 0.1889 0.7221 0.6753
Se3 0.1991 0.2050 0.1056
Se4 0.2779 0.8111 0.3247
Se5 0.7366 0.2513 0.7541
Se6 0.7442 0.8526 0.3416
Se7 0.7487 0.2634 0.2459
Se8 0.7950 0.8009 0.8944
Cl1 0.4907 0.5093 0.0000
Cl2 0.5151 0.4849 0.5000